(1)
Density functional theory data (PBE) for a geometry-optimized HfGaCu structure.

Geometry as POSCAR:
```
HfGaCu
1.0
-1.5201 1.5201 5.2697
1.5201 -1.5201 5.2697
1.5201 1.5201 -5.2697
Hf Ga Cu
1 1 1
direct
0.0000 0.0000 0.0000 Hf
0.6849 0.6849 0.0000 Ga
0.3225 0.3225 0.0000 Cu
```

Computed properties:
The calculation puts the final energy at -5.9180 eV/atom. As for the space-group type: I4mm (107). The calculation puts the total magnetic moment at 0.00 μB/f.u. The calculation puts the formation energy at -0.23 eV/atom.

---

(2)
Density functional theory data (PBE) for a geometry-optimized HfGaCu structure.

Geometry as POSCAR:
```
HfGaCu
1.0
4.2080 0.0000 0.0000
-2.0883 4.2472 0.0000
-0.0102 -1.6036 5.5480
Hf Ga Cu
2 2 2
direct
0.0000 0.0000 0.0000 Hf
0.3010 0.6043 0.6414 Hf
0.6563 0.3139 0.8417 Ga
0.9572 0.9204 0.4642 Ga
0.3333 0.6653 0.1637 Cu
0.6495 0.3005 0.3164 Cu
```

Computed properties:
The calculation puts the final energy at -5.9160 eV/atom. As for the space-group type: P1 (1). The calculation puts the total magnetic moment at 0.00 μB/f.u. The calculation puts the formation energy at -0.22 eV/atom.